## K2AgIrF6 (PBE)

Data for a relaxed K2AgIrF6 crystal.

DFT total energy: -4.40 eV/atom
ΔE_f (raw): -1823 kJ/mol of formula units

POSCAR file:
```
K2AgIrF6
1.0
6.093 0.000 0.000
0.000 6.420 0.000
0.000 0.000 8.798
Ir F K Ag
2 12 4 2
Direct
0.500 0.227 0.500
0.000 0.773 0.000
0.738 0.002 0.500
0.762 0.998 0.000
0.758 0.553 0.000
0.000 0.779 0.232
0.262 0.002 0.500
0.242 0.553 0.000
0.742 0.447 0.500
0.000 0.779 0.768
0.500 0.221 0.732
0.238 0.998 0.000
0.500 0.221 0.268
0.258 0.447 0.500
0.500 0.777 0.236
0.000 0.223 0.264
0.500 0.777 0.764
0.000 0.223 0.736
0.000 0.722 0.500
0.500 0.278 0.000
```